## KMnTc2 (PBE)

Data for KMnTc2 after structural relaxation.

Cell: 5.743 5.743 2.556 Å, 90.00 90.00 124.09°
Positions (direct):
K1 0.500 0.000 0.500
Mn1 0.000 0.500 0.500
Tc1 0.000 0.000 0.000
Tc2 0.500 0.500 0.000

Properties
space group = Cmmm
energy above the lowest structure with this stoichiometry = 571 meV per atom
ΔE_f = 1.247 eV per atom